(1)
An optimized crystal structure of Pm4Nd3Er2. Source: the Alexandria database, functional PBE.

The spin magnetization comes out at 0.0 μB per formula unit. For the energy, the calculation gives -41.8 eV for the cell shown.

a = 3.6301 Å, b = 3.6301 Å, c = 27.0124 Å
α = 90.00°, β = 90.00°, γ = 120.00°
Space group P3m1 (No. 156)
One atom of each set of equivalent atoms:
Pm 0.0000 0.0000 0.0000
Pm 0.0000 0.0000 0.2218
Pm 0.3333 0.6667 0.3311
Pm 0.3333 0.6667 0.5559
Nd 0.0000 0.0000 0.4432
Nd 0.3333 0.6667 0.1078
Nd 0.3333 0.6667 0.7704
Er 0.0000 0.0000 0.6610
Er 0.0000 0.0000 0.8750


(2)
An optimized crystal structure of SrPCl2. Source: the Alexandria database, functional PBE.

The uncorrected formation energy is -804.4 meV/atom. The spin magnetization comes out at 0.0 μB per formula unit. For the energy, the calculation gives -28.0 eV for the cell shown.

a = 3.5986 Å, b = 5.7283 Å, c = 9.2057 Å
α = 90.00°, β = 90.00°, γ = 90.00°
Space group Immm (No. 71)
One atom of each set of equivalent atoms:
Sr 0.0000 0.0000 0.0000
P 0.0000 0.0000 0.5000
Cl 0.0000 0.5000 0.2390


(3)
An optimized crystal structure of Li7GeAu12. Source: the Alexandria database, functional PBE.

The spin magnetization comes out at 0.0 μB per formula unit. For the energy, the calculation gives -191.7 eV for the cell shown.

a = 9.9107 Å, b = 9.9107 Å, c = 12.1940 Å
α = 90.00°, β = 90.00°, γ = 120.00°
Space group R-3 (No. 148, hexagonal axes)
One atom of each set of equivalent atoms:
Li 0.0000 0.0000 0.0000
Li 0.0108 0.4390 0.7045
Ge 0.0000 0.0000 0.5000
Au 0.0409 0.1830 0.8245
Au 0.0628 0.5971 0.0886


(4)
An optimized crystal structure of Ac3Zn2Sn3. Source: the Alexandria database, functional PBE.

The spin magnetization comes out at 0.6 μB per formula unit. For the energy, the calculation gives -126.0 eV for the cell shown.

a = 4.7197 Å, b = 12.3403 Å, c = 16.2833 Å
α = 90.00°, β = 90.00°, γ = 90.00°
Space group Cmcm (No. 63)
One atom of each set of equivalent atoms:
Ac 0.0000 0.0699 0.1089
Ac 0.0000 0.3533 0.2500
Zn 0.0000 0.2290 0.6028
Sn 0.0000 0.3586 0.7500
Sn 0.0000 0.3640 0.0427